DFT (PBE) results for a relaxed structure of BaBi3Te.

Output
The density is 5.80 g/cm³. For the total magnetization, the calculation gives 1.32 μB/f.u. As for the polymorph energy (0 for the lowest one): 0.950 eV per atom. The value obtained for the uncorrected formation energy is 0.972 eV/atom.

Cell: 6.345 6.345 6.345 Å, 90.00 90.00 90.00°
Space group Pm-3m (No. 221)
Inequivalent atoms, fractional coordinates:
1 Ba 0.000 0.000 0.000 [1 per cell]
2 Bi 0.000 0.000 0.500 [3 per cell]
3 Te 0.500 0.500 0.500 [1 per cell]

DFT (PBE) results for a relaxed structure of AcPmDy4.

Output
The density is 8.21 g/cm³. For the total magnetization, the calculation gives 0.00 μB/f.u. As for the formation energy: 0.07 eV/atom. As for the polymorph energy (0 for the lowest one): 0.015 eV per atom.

Cell: 6.783 8.259 8.910 Å, 105.00 111.69 104.52°
Space group P-1 (No. 2)
Inequivalent atoms, fractional coordinates:
1 Ac 0.248 0.281 0.425 [2 per cell]
2 Pm 0.326 0.687 0.770 [2 per cell]
3 Dy 0.180 0.896 0.066 [2 per cell]
4 Dy 0.184 0.757 0.393 [2 per cell]
5 Dy 0.270 0.104 0.782 [2 per cell]
6 Dy 0.273 0.492 0.062 [2 per cell]

DFT (PBE) results for a relaxed structure of K2OsCl.

Output
The density is 3.60 g/cm³. For the total magnetization, the calculation gives 3.00 μB/f.u. As for the polymorph energy (0 for the lowest one): 0.403 eV per atom. The value obtained for the uncorrected formation energy is 0.675 eV/atom.

Cell: 4.559 4.559 13.502 Å, 90.00 90.00 90.00°
Space group I-4m2 (No. 119)
Inequivalent atoms, fractional coordinates:
1 K 0.000 0.000 0.000 [2 per cell]
2 K 0.000 0.500 0.250 [2 per cell]
3 Os 0.000 0.500 0.750 [2 per cell]
4 Cl 0.000 0.000 0.500 [2 per cell]